[1]
A plane-wave DFT calculation with GGA-PBE was carried out for an optimized crystal structure of Ho6InGa2.

## Properties
M_tot in μB/cell: 0.01
Crystal system: orthorhombic
E in eV per atom: -4.46

abc: 9.606 9.608 10.552
angles: 90.00 90.00 90.00
Space group Immm (No. 71)
Inequivalent atoms, fractional coordinates:
Ho (0.000, 0.203, 0.179) x8
Ho (0.184, 0.222, 0.500) x8
Ho (0.202, 0.500, 0.259) x8
In (0.000, 0.500, 0.000) x2
In (0.000, 0.500, 0.500) x2
Ga (0.000, 0.000, 0.379) x4
Ga (0.148, 0.000, 0.000) x4

***

[2]
A plane-wave DFT calculation with GGA-PBE was carried out for an optimized crystal structure of Y3Zr4.

## Properties
M_tot in μB/cell: 0.06
Energy relative to the elements in eV/atom: 0.06
Crystal system: hexagonal

abc: 8.9939 8.9939 5.3233
angles: 90.00 90.00 120.00
Space group P6_3/m (No. 176)
Inequivalent atoms, fractional coordinates:
Y (0.0557, 0.2549, 0.2500) x6
Zr (0.1064, 0.4976, 0.7500) x6
Zr (0.3333, 0.6667, 0.2500) x2

***

[3]
A plane-wave DFT calculation with GGA-PBE was carried out for an optimized crystal structure of NdN.

## Properties
M_tot in μB/cell: 0.00
Crystal system: hexagonal
E in eV per atom: -7.53

abc: 3.4939 3.4939 3.1766
angles: 90.00 90.00 120.00
Space group P-6m2 (No. 187)
Inequivalent atoms, fractional coordinates:
Nd (0.0000, 0.0000, 0.0000) x1
N (0.6667, 0.3333, 0.5000) x1

***

[4]
A plane-wave DFT calculation with GGA-PBE was carried out for an optimized crystal structure of Rb2Dy2AsP.

## Properties
M_tot in μB/cell: 2.18
Crystal system: trigonal
E in eV per atom: -4.01

abc: 4.3578 4.3578 15.2956
angles: 90.00 90.00 120.00
Space group P3m1 (No. 156)
Inequivalent atoms, fractional coordinates:
Rb (0.0000, 0.0000, 0.0000) x1
Rb (0.3333, 0.6667, 0.4952) x1
Dy (0.6667, 0.3333, 0.2280) x1
Dy (0.6667, 0.3333, 0.7333) x1
As (0.0000, 0.0000, 0.6571) x1
P (0.3333, 0.6667, 0.1621) x1

***

[5]
A plane-wave DFT calculation with GGA-PBE was carried out for an optimized crystal structure of MgScCuBi.

## Properties
M_tot in μB/cell: 0.03
Crystal system: cubic
E in eV per atom: -3.86

abc: 7.048 7.048 7.048
angles: 90.00 90.00 90.00
Space group F-43m (No. 216)
Inequivalent atoms, fractional coordinates:
Mg (0.000, 0.000, 0.000) x4
Sc (0.250, 0.250, 0.250) x4
Cu (0.000, 0.000, 0.500) x4
Bi (0.250, 0.250, 0.750) x4

***

[6]
A plane-wave DFT calculation with GGA-PBE was carried out for an optimized crystal structure of KZnB.

## Properties
Crystal system: cubic
E in eV per atom: -1.71

abc: 6.532 6.532 6.532
angles: 90.00 90.00 90.00
Space group F-43m (No. 216)
Inequivalent atoms, fractional coordinates:
K (0.000, 0.000, 0.000) x4
Zn (0.000, 0.000, 0.500) x4
B (0.250, 0.250, 0.250) x4

***

[7]
A plane-wave DFT calculation with GGA-PBE was carried out for an optimized crystal structure of GdYTe2.

## Properties
M_tot in μB/cell: 0.02
Crystal system: trigonal
E in eV per atom: -5.69

abc: 4.2651 4.2651 7.6122
angles: 90.00 90.00 120.00
Space group P-3m1 (No. 164)
Inequivalent atoms, fractional coordinates:
Gd (0.0000, 0.0000, 0.0000) x1
Y (0.0000, 0.0000, 0.5000) x1
Te (0.3333, 0.6667, 0.7472) x2

***

[8]
A plane-wave DFT calculation with GGA-PBE was carried out for an optimized crystal structure of LaHoNi2Ge4.

## Properties
M_tot in μB/cell: 0.00
Crystal system: orthorhombic
E in eV per atom: -5.62

abc: 4.221 4.214 16.806
angles: 90.00 90.00 90.00
Space group Amm2 (No. 38)
Inequivalent atoms, fractional coordinates:
La (0.000, 0.000, 0.000) x2
Ho (0.500, 0.000, 0.217) x2
Ni (0.000, 0.000, 0.787) x2
Ni (0.500, 0.000, 0.426) x2
Ge (0.000, 0.000, 0.356) x2
Ge (0.000, 0.000, 0.651) x2
Ge (0.500, 0.000, 0.567) x2
Ge (0.500, 0.000, 0.855) x2

***

[9]
A plane-wave DFT calculation with GGA-PBE was carried out for an optimized crystal structure of NdZr2.

## Properties
M_tot in μB/cell: 0.01
Energy relative to the elements in eV/atom: 0.11
Crystal system: orthorhombic

abc: 10.584 5.705 5.357
angles: 90.00 90.00 90.00
Space group Cmcm (No. 63)
Inequivalent atoms, fractional coordinates:
Nd (0.000, 0.198, 0.250) x4
Zr (0.186, 0.340, 0.750) x8

***

[10]
A plane-wave DFT calculation with GGA-PBE was carried out for an optimized crystal structure of LaPrTe2.

## Properties
M_tot in μB/cell: 0.01
Crystal system: tetragonal
E in eV per atom: -5.52

abc: 4.557 4.557 6.444
angles: 90.00 90.00 90.00
Space group P4/mmm (No. 123)
Inequivalent atoms, fractional coordinates:
La (0.000, 0.000, 0.000) x1
Pr (0.500, 0.500, 0.500) x1
Te (0.000, 0.000, 0.500) x1
Te (0.500, 0.500, 0.000) x1

***

[11]
A plane-wave DFT calculation with GGA-PBE was carried out for an optimized crystal structure of FeTcGeMo.

## Properties
M_tot in μB/cell: 2.88
Crystal system: cubic
E in eV per atom: -8.50

abc: 6.039 6.039 6.039
angles: 90.00 90.00 90.00
Space group F-43m (No. 216)
Inequivalent atoms, fractional coordinates:
Fe (0.000, 0.000, 0.000) x4
Tc (0.000, 0.000, 0.500) x4
Ge (0.250, 0.250, 0.750) x4
Mo (0.250, 0.250, 0.250) x4

***

[12]
A plane-wave DFT calculation with GGA-PBE was carried out for an optimized crystal structure of HfZr3Pb2C2.

## Properties
M_tot in μB/cell: 0.00
Crystal system: trigonal
E in eV per atom: -8.34

abc: 3.4024 3.4024 14.8986
angles: 90.00 90.00 120.00
Space group P3m1 (No. 156)
Inequivalent atoms, fractional coordinates:
Hf (0.0000, 0.0000, 0.0000) x1
Zr (0.0000, 0.0000, 0.6636) x1
Zr (0.6667, 0.3333, 0.1625) x1
Zr (0.6667, 0.3333, 0.4983) x1
Pb (0.0000, 0.0000, 0.3304) x1
Pb (0.6667, 0.3333, 0.8323) x1
C (0.3333, 0.6667, 0.0776) x1
C (0.3333, 0.6667, 0.5810) x1